Compound: ZrI2
Source: the Alexandria database
Functional: PBE
Structure: relaxed

It has space group R-3 (No. 148, hexagonal axes), with a = 14.9080 Å, b = 14.9080 Å, c = 10.4162 Å, α = 90.00°, β = 90.00° and γ = 120.00°. The asymmetric unit holds Zr at (0.0397, 0.1400, 0.3730), I at (0.0292, 0.5884, 0.1650) and I at (0.0502, 0.1748, 0.8155).

As for the calculated total energy: -4.677 eV/atom. The calculation puts the formation energy (no corrections) at -0.79 eV/atom.